# 1
! GGA-PBE Th5RuSe5, relaxed; values from VASP
&SYSTEM
  ibrav = 0, nat = 11, ntyp = 3
/
ATOMIC_SPECIES
Th 232.04 Th.upf
Ru 101.07 Ru.upf
Se 78.96 Se.upf
ATOMIC_POSITIONS crystal
Th 0.000 0.000 0.000
Th 0.341 0.341 0.158
Th 0.344 0.344 0.687
Th 0.656 0.656 0.313
Th 0.659 0.659 0.842
Ru 0.500 0.500 0.000
Se 0.160 0.160 0.818
Se 0.175 0.175 0.341
Se 0.500 0.500 0.500
Se 0.825 0.825 0.659
Se 0.840 0.840 0.182
CELL_PARAMETERS angstrom
6.675 -2.982 0.000
6.675 2.982 0.000
-2.685 0.000 7.900
! - formation energy without anion corrections (eV/atom) = -1.421
! - magnetization (μB/cell) = 0.000
! - DOS(E_F) (states/eV/f.u.) = 7.54
! - space group = No. 12
! - volume (Å³ per atom) = 28.59

# 2
! GGA-PBE Mg3Ga2Au3, relaxed; values from VASP
&SYSTEM
  ibrav = 0, nat = 8, ntyp = 3
/
ATOMIC_SPECIES
Mg 24.30 Mg.upf
Ga 69.72 Ga.upf
Au 196.97 Au.upf
ATOMIC_POSITIONS crystal
Mg 0.000 0.000 0.000
Mg 0.117 0.547 0.240
Mg 0.883 0.453 0.760
Ga 0.248 0.255 0.495
Ga 0.752 0.745 0.505
Au 0.371 0.961 0.741
Au 0.500 0.500 0.000
Au 0.629 0.039 0.259
CELL_PARAMETERS angstrom
3.369 0.000 0.000
-0.008 4.660 0.000
-1.639 -0.763 9.277
! - magnetization (μB/cell) = 0.000
! - DOS(E_F) (states/eV/f.u.) = 2.12
! - energy relative to the elements (kJ/mol of atoms) = -41.1
! - space group = No. 2
! - volume (Å³ per atom) = 18.21
! - E above lowest polymorph (eV/atom) = 0.0000

# 3
! GGA-PBE Nd6Tm5Pu, relaxed; values from VASP
&SYSTEM
  ibrav = 0, nat = 12, ntyp = 3
/
ATOMIC_SPECIES
Nd 144.24 Nd.upf
Tm 168.93 Tm.upf
Pu 244.00 Pu.upf
ATOMIC_POSITIONS crystal
Nd 0.084 0.335 0.749
Nd 0.248 0.000 0.248
Nd 0.414 0.665 0.749
Nd 0.586 0.335 0.251
Nd 0.752 0.000 0.752
Nd 0.916 0.665 0.251
Tm 0.166 0.166 0.000
Tm 0.333 0.833 0.500
Tm 0.500 0.500 0.000
Tm 0.667 0.167 0.500
Tm 0.834 0.834 0.000
Pu 0.000 0.500 0.500
CELL_PARAMETERS angstrom
-2.545 5.001 7.624
2.545 -5.001 7.624
2.545 5.001 -7.624
! - magnetization (μB/cell) = 6.363
! - DOS(E_F) (states/eV/f.u.) = 23.16
! - energy relative to the elements (kJ/mol of atoms) = 5.0
! - space group = No. 71
! - volume (Å³ per atom) = 32.35

# 4
! GGA-PBE AsPbAu2, relaxed; values from VASP
&SYSTEM
  ibrav = 0, nat = 4, ntyp = 3
/
ATOMIC_SPECIES
As 74.92 As.upf
Pb 207.20 Pb.upf
Au 196.97 Au.upf
ATOMIC_POSITIONS crystal
As 0.000 0.000 0.000
Pb 0.500 0.000 0.500
Au 0.000 0.500 0.252
Au 0.000 0.500 0.748
CELL_PARAMETERS angstrom
3.373 0.000 0.000
0.000 4.632 0.000
0.000 0.000 5.753
! - magnetization (μB/cell) = 0.000
! - DOS(E_F) (states/eV/f.u.) = 0.92
! - energy relative to the elements (kJ/mol of atoms) = 6.5
! - space group = No. 47
! - volume (Å³ per atom) = 22.47

Which of these has the highest volume?
Nd6Tm5Pu